! NaTl2CrCl6 PBE-GGA relaxed; values from VASP
&SYSTEM
  ibrav = 0, nat = 10, ntyp = 4
/
ATOMIC_SPECIES
Cl 35.45 Cl.upf
Tl 204.38 Tl.upf
Cr 52.00 Cr.upf
Na 22.99 Na.upf
CELL_PARAMETERS angstrom
6.814 0.000 0.000
0.000 7.093 0.000
0.000 -3.547 6.143
ATOMIC_POSITIONS angstrom
Cl 5.434 0.000 1.928
Cl 5.434 -1.877 5.179
Cl 1.379 1.670 0.964
Cl 1.379 3.547 4.215
Cl 1.379 5.423 0.964
Cl 5.434 1.877 5.179
Tl 0.999 0.000 4.095
Tl 5.815 3.547 2.048
Cr 0.000 0.000 0.000
Na 3.407 0.000 0.000
! theoretical density: 3.90 g/cm3
! formation energy from raw total energies: -12.33 eV/f.u.
! V: 29.7 Å³ per atom
! crystal system: trigonal


! Cs3CI PBE-GGA relaxed; values from VASP
&SYSTEM
  ibrav = 0, nat = 5, ntyp = 3
/
ATOMIC_SPECIES
C 12.01 C.upf
I 126.90 I.upf
Cs 132.91 Cs.upf
CELL_PARAMETERS angstrom
6.324 0.000 0.000
0.000 6.324 0.000
0.000 0.000 6.324
ATOMIC_POSITIONS angstrom
C 0.000 0.000 0.000
I 3.162 3.162 3.162
Cs 3.162 0.000 0.000
Cs 0.000 3.162 0.000
Cs 0.000 0.000 3.162
! theoretical density: 3.53 g/cm3
! formation energy from raw total energies: 1.35 eV/f.u.
! V: 50.6 Å³ per atom
! crystal system: cubic


! Rb3CuPb PBE-GGA relaxed; values from VASP
&SYSTEM
  ibrav = 0, nat = 5, ntyp = 3
/
ATOMIC_SPECIES
Rb 85.47 Rb.upf
Pb 207.20 Pb.upf
Cu 63.55 Cu.upf
CELL_PARAMETERS angstrom
-5.943 1.556 -2.072
-2.549 -4.445 3.972
-0.467 4.456 4.686
ATOMIC_POSITIONS angstrom
Rb -1.275 -2.222 1.986
Rb -2.971 0.778 -1.036
Rb -0.234 2.228 2.343
Pb -4.480 0.783 3.293
Cu 0.000 0.000 0.000
! theoretical density: 3.21 g/cm3
! energy above the lowest structure with this stoichiometry: 0.0 meV/atom
! V: 54.5 Å³ per atom
! crystal system: cubic
! calculated formation energy: 0.33 eV per atom


! FeIr8Ru6 PBE-GGA relaxed; values from VASP
&SYSTEM
  ibrav = 0, nat = 15, ntyp = 3
/
ATOMIC_SPECIES
Fe 55.84 Fe.upf
Ir 192.22 Ir.upf
Ru 101.07 Ru.upf
CELL_PARAMETERS angstrom
-1.859 1.462 -1.350
-4.644 -8.281 -2.571
-2.428 4.614 8.340
ATOMIC_POSITIONS angstrom
Fe -0.930 0.731 -0.675
Ir -6.999 -0.597 4.865
Ir -3.662 4.161 5.422
Ir -5.303 -2.884 0.051
Ir -3.030 0.678 0.780
Ir -1.933 -1.608 -0.446
Ir -5.270 -6.365 -1.003
Ir -5.902 -2.883 3.639
Ir -3.629 0.679 4.368
Ru -3.564 -4.350 -1.172
Ru -3.574 -1.782 1.622
Ru -2.962 2.517 2.681
Ru -5.368 2.145 5.591
Ru -5.358 -0.422 2.798
Ru -5.970 -4.722 1.738
! theoretical density: 16.01 g/cm3
! V: 15.2 Å³ per atom
! crystal system: trigonal
! calculated formation energy: 0.33 eV per atom


! Tb2SmTm6Sc3 PBE-GGA relaxed; values from VASP
&SYSTEM
  ibrav = 0, nat = 12, ntyp = 4
/
ATOMIC_SPECIES
Tm 168.93 Tm.upf
Tb 158.93 Tb.upf
Sm 150.36 Sm.upf
Sc 44.96 Sc.upf
CELL_PARAMETERS angstrom
6.003 0.001 0.010
-2.999 5.200 0.010
-1.018 -1.762 11.219
ATOMIC_POSITIONS angstrom
Tm -0.013 -0.022 8.309
Tm -1.003 1.729 2.920
Tm 1.999 -0.005 2.920
Tm 1.999 3.460 2.931
Tm -0.013 3.443 8.320
Tm 2.989 1.709 8.320
Tb 0.002 3.466 0.010
Tb 3.001 1.734 0.010
Sm 0.000 0.000 0.000
Sc 3.992 -0.013 5.620
Sc -2.006 3.451 5.620
Sc 0.993 1.719 5.620
! theoretical density: 7.66 g/cm3
! V: 29.2 Å³ per atom
! crystal system: monoclinic
! calculated formation energy: 0.04 eV per atom


! SrGeN2 PBE-GGA relaxed; values from VASP
&SYSTEM
  ibrav = 0, nat = 4, ntyp = 3
/
ATOMIC_SPECIES
Sr 87.62 Sr.upf
Ge 72.64 Ge.upf
N 14.01 N.upf
CELL_PARAMETERS angstrom
2.329 0.000 5.966
-1.165 2.017 5.966
-1.165 -2.017 5.966
ATOMIC_POSITIONS angstrom
Sr 0.000 0.000 8.949
Ge 0.000 0.000 0.000
N 0.000 0.000 16.202
N 0.000 0.000 1.696
! theoretical density: 3.72 g/cm3
! formation energy from raw total energies: -0.58 eV/f.u.
! V: 21.0 Å³ per atom
! crystal system: trigonal


! Pr2Al3Ag4Hg PBE-GGA relaxed; values from VASP
&SYSTEM
  ibrav = 0, nat = 10, ntyp = 4
/
ATOMIC_SPECIES
Ag 107.87 Ag.upf
Al 26.98 Al.upf
Pr 140.91 Pr.upf
Hg 200.59 Hg.upf
CELL_PARAMETERS angstrom
4.438 0.000 0.000
0.000 4.438 0.000
0.000 0.000 11.188
ATOMIC_POSITIONS angstrom
Ag 2.219 0.000 7.261
Ag 0.000 2.219 3.927
Ag 0.000 0.000 0.000
Ag 2.219 2.219 0.000
Al 0.000 2.219 1.403
Al 2.219 0.000 9.785
Al 0.000 0.000 5.594
Pr 2.219 0.000 2.705
Pr 0.000 2.219 8.483
Hg 2.219 2.219 5.594
! theoretical density: 7.50 g/cm3
! V: 22.0 Å³ per atom
! crystal system: tetragonal
! calculated formation energy: -0.27 eV per atom


! In2AgPd2 PBE-GGA relaxed; values from VASP
&SYSTEM
  ibrav = 0, nat = 10, ntyp = 3
/
ATOMIC_SPECIES
Ag 107.87 Ag.upf
Pd 106.42 Pd.upf
In 114.82 In.upf
CELL_PARAMETERS angstrom
7.695 0.000 0.000
0.000 7.695 0.000
0.000 0.000 3.188
ATOMIC_POSITIONS angstrom
Ag 3.847 3.847 0.000
Ag 0.000 0.000 0.000
Pd 2.720 1.128 1.594
Pd 4.975 6.567 1.594
Pd 1.128 4.975 1.594
Pd 6.567 2.720 1.594
In 6.540 5.003 0.000
In 5.003 1.155 0.000
In 1.155 2.692 0.000
In 2.692 6.540 0.000
! theoretical density: 9.68 g/cm3
! energy above the lowest structure with this stoichiometry: 38.5 meV/atom
! V: 18.9 Å³ per atom
! crystal system: tetragonal
! calculated formation energy: -0.33 eV per atom


Repeat the third record exactly.
! Rb3CuPb PBE-GGA relaxed; values from VASP
&SYSTEM
  ibrav = 0, nat = 5, ntyp = 3
/
ATOMIC_SPECIES
Rb 85.47 Rb.upf
Pb 207.20 Pb.upf
Cu 63.55 Cu.upf
CELL_PARAMETERS angstrom
-5.943 1.556 -2.072
-2.549 -4.445 3.972
-0.467 4.456 4.686
ATOMIC_POSITIONS angstrom
Rb -1.275 -2.222 1.986
Rb -2.971 0.778 -1.036
Rb -0.234 2.228 2.343
Pb -4.480 0.783 3.293
Cu 0.000 0.000 0.000
! theoretical density: 3.21 g/cm3
! energy above the lowest structure with this stoichiometry: 0.0 meV/atom
! V: 54.5 Å³ per atom
! crystal system: cubic
! calculated formation energy: 0.33 eV per atom